Lu3Tl2Cu5Se8 at its PBEsol-relaxed geometry. Source: Alexandria, functional meta-GGA SCAN.

Summary:
Volume = 376.6 Å³/cell
Final energy = -565.37 eV/f.u.
Magnetization = 0.000 μB per atom
Energy relative to the elements, uncorrected = -1.0000 eV per atom

a = 3.9875 Å, b = 7.2858 Å, c = 13.7640 Å
α = 79.84°, β = 81.67°, γ = 74.12°
With the nearest neighbours (Å) after each atom.
Fractional positions:
Cu 0.7837 0.7560 0.6766  4 Se 2.42-2.53, 1 Cu 2.59
Cu 0.7287 0.5255 0.0171  4 Se 2.42-2.58
Cu 0.6521 0.2970 0.3988  4 Se 2.44-2.54
Cu 0.9849 0.7791 0.2511  4 Se 2.40-2.57
Cu 0.5866 0.0838 0.7431  4 Se 2.41-2.51, 1 Cu 2.59
Tl 0.0108 0.9660 0.0124  7 Se 3.23-3.38, 1 Cu 3.32
Tl 0.3553 0.8762 0.4133  2 Cu 3.12, 7 Se 3.14-3.34
Se 0.9861 0.2302 0.7976  2 Cu 2.41
Se 0.8115 0.1205 0.2564  2 Cu 2.40-2.44
Se 0.6897 0.7657 0.8549  3 Cu 2.44-2.58
Se 0.3852 0.6097 0.6198  2 Cu 2.42
Se 0.0517 0.5006 0.3961  3 Cu 2.45-2.57
Se 0.6800 0.0761 0.5639  3 Cu 2.45-2.54
Se 0.5765 0.6825 0.1644  3 Cu 2.42-2.46
Se 0.3284 0.3282 0.0151  2 Cu 2.43, 1 Lu 2.71
Lu 0.0343 0.3375 0.5939  6 Se 2.77-2.82
Lu 0.3352 0.5052 0.8243  6 Se 2.71-2.83
Lu 0.2014 0.3889 0.2083  6 Se 2.73-2.87, 1 Cu 2.88